# SnB3Cl, relaxed, DFT PBE
data_SnB3Cl
_chemical_formula_sum 'Sn1 B3 Cl1'
_cell_length_a 4.638
_cell_length_b 4.638
_cell_length_c 4.638
_cell_angle_alpha 90.00
_cell_angle_beta 90.00
_cell_angle_gamma 90.00
_space_group_name_H-M_alt 'P 1'
_space_group_IT_number 1
loop_
_space_group_symop_operation_xyz
'x,y,z'
loop_
_atom_site_label
_atom_site_fract_x
_atom_site_fract_y
_atom_site_fract_z
Sn1 0.000 0.000 0.000
B1 0.500 0.000 0.000
B2 0.000 0.000 0.500
B3 0.000 0.500 0.000
Cl1 0.500 0.500 0.500
# Uncorrected formation energy, eV/atom: 2.042
# Relative energy among the computed polymorphs, meV per atom: 0
# Space-group type: Pm-3m, No. 221

***

# SnB3Cl, relaxed, DFT PBE
data_SnB3Cl
_chemical_formula_sum 'Sn1 B3 Cl1'
_cell_length_a 4.050
_cell_length_b 4.050
_cell_length_c 4.050
_cell_angle_alpha 90.00
_cell_angle_beta 90.00
_cell_angle_gamma 90.00
_space_group_name_H-M_alt 'P 1'
_space_group_IT_number 1
loop_
_space_group_symop_operation_xyz
'x,y,z'
loop_
_atom_site_label
_atom_site_fract_x
_atom_site_fract_y
_atom_site_fract_z
B1 0.000 0.500 0.000
B2 0.500 0.000 0.000
B3 0.000 0.000 0.500
Cl1 0.000 0.000 0.000
Sn1 0.500 0.500 0.500
# Uncorrected formation energy, eV/atom: 2.139
# Relative energy among the computed polymorphs, meV per atom: 97
# Space-group type: Pm-3m, No. 221

***

# SnBCl3, relaxed, DFT PBE
data_SnBCl3
_chemical_formula_sum 'Sn1 B1 Cl3'
_cell_length_a 4.637
_cell_length_b 4.637
_cell_length_c 4.637
_cell_angle_alpha 90.00
_cell_angle_beta 90.00
_cell_angle_gamma 90.00
_space_group_name_H-M_alt 'P 1'
_space_group_IT_number 1
loop_
_space_group_symop_operation_xyz
'x,y,z'
loop_
_atom_site_label
_atom_site_fract_x
_atom_site_fract_y
_atom_site_fract_z
Sn1 0.500 0.500 0.500
Cl1 0.500 0.000 0.000
Cl2 0.000 0.000 0.500
Cl3 0.000 0.500 0.000
B1 0.000 0.000 0.000
# Uncorrected formation energy, eV/atom: 0.149
# Relative energy among the computed polymorphs, meV per atom: 0
# Space-group type: Pm-3m, No. 221

***

- Which formula does entry 1 have?
  SnB3Cl